# 1
This record from Alexandria describes a relaxed structure of V4Ge2N. The functional is PBE-GGA.

abc: 3.850 3.850 7.006
angles: 74.05 74.05 90.00
Site moments in Bohr magnetons follow the coordinates.
Element x y z (fractional)
Ge  0.354  0.354  0.293  -0.03
Ge  0.646  0.646  0.707  -0.03
N  0.000  0.000  0.000  -0.01
V  0.158  0.158  0.683  0.83
V  0.842  0.842  0.317  0.83
V  0.000  0.500  0.000  0.17
V  0.500  0.000  0.000  0.17

## Properties
E above lowest polymorph = 176 meV/atom
DOS at the Fermi energy = 5.8 states/eV/f.u.
Raw formation energy = -0.43 eV/atom
Total magnetic moment = 2.2 μB/cell



# 2
This record from Alexandria describes a relaxed structure of VGeN. The functional is PBE-GGA.

abc: 3.091 3.912 13.731
angles: 90.00 102.63 90.00
Element x y z (fractional)
V  0.972  0.000  0.142
V  0.972  0.500  0.642
V  0.544  0.000  0.715
V  0.544  0.500  0.215
Ge  0.215  0.000  0.888
Ge  0.215  0.500  0.388
Ge  0.796  0.000  0.466
Ge  0.796  0.500  0.966
N  0.947  0.000  0.615
N  0.947  0.500  0.115
N  0.558  0.000  0.230
N  0.558  0.500  0.730

## Properties
E above lowest polymorph = 167 meV/atom
DOS at the Fermi energy = 2.1 states/eV/f.u.
Raw formation energy = -0.39 eV/atom
Total magnetic moment = 0.0 μB/cell



# 3
This record from Alexandria describes a relaxed structure of VGeN. The functional is PBE-GGA.

abc: 3.397 3.994 11.831
angles: 90.00 90.04 90.00
Element x y z (fractional)
V  0.467  0.000  0.532
V  0.467  0.500  0.032
V  0.966  0.000  0.959
V  0.966  0.500  0.459
Ge  0.968  0.000  0.738
Ge  0.968  0.500  0.238
Ge  0.468  0.000  0.218
Ge  0.468  0.500  0.718
N  0.966  0.000  0.449
N  0.966  0.500  0.949
N  0.467  0.000  0.043
N  0.467  0.500  0.543

## Properties
E above lowest polymorph = 161 meV/atom
DOS at the Fermi energy = 1.8 states/eV/f.u.
Raw formation energy = -0.40 eV/atom
Total magnetic moment = 0.0 μB/cell



> Look up the DOS at the Fermi energy of the third one.

1.8 states/eV/f.u.